No. 1
## Co2NiSnH (PBE)

Data for a relaxed structure of Co2NiSnH.

Values from the calculation:
Crystal system   tetragonal
DFT total energy   -5.55 eV/atom
D(E_F)   2.840 states/eV per cell
Space-group type   P4/mmm (123)

a = 3.771 Å, b = 3.771 Å, c = 3.720 Å
α = 90.00°, β = 90.00°, γ = 90.00°
Fractional positions:
1 Co 0.000 0.500 0.000
2 Co 0.500 0.000 0.000
3 Ni 0.000 0.000 0.500
4 Sn 0.500 0.500 0.500
5 H 0.000 0.000 0.000

---

No. 2
## NaInGaAu (PBE)

Data for a relaxed structure of NaInGaAu.

Values from the calculation:
ΔE_f   -171 meV per atom
Crystal system   monoclinic
E above lowest polymorph   0.0 meV per atom
D(E_F)   1.412 states/eV per cell
Space-group type   Cm (8)

a = 4.739 Å, b = 4.739 Å, c = 5.029 Å
α = 90.56°, β = 90.56°, γ = 60.06°
Fractional positions:
1 Na 0.000 0.000 0.000
2 In 0.333 0.333 0.527
3 Ga 0.668 0.668 0.283
4 Au 0.665 0.665 0.783

---

No. 3
## DyTm2PaRu4 (PBE)

Data for a relaxed structure of DyTm2PaRu4.

Values from the calculation:
ΔE_f   -544 meV per atom
Crystal system   trigonal
D(E_F)   3.760 states/eV per cell
Space-group type   R-3m (166)

a = 8.113 Å, b = 8.113 Å, c = 8.113 Å
α = 34.89°, β = 34.89°, γ = 34.89°
Fractional positions:
1 Dy 0.000 0.000 0.000
2 Tm 0.253 0.253 0.253
3 Tm 0.747 0.747 0.747
4 Pa 0.500 0.500 0.500
5 Ru 0.128 0.128 0.128
6 Ru 0.384 0.384 0.384
7 Ru 0.616 0.616 0.616
8 Ru 0.872 0.872 0.872

---

No. 4
## PrNdDy4S8 (PBE)

Data for a relaxed structure of PrNdDy4S8.

Values from the calculation:
E_form (uncorrected)   -1.92 eV per atom
Crystal system   trigonal
D(E_F)   7.996 states/eV per cell
Space-group type   R3m (160)

a = 8.189 Å, b = 8.189 Å, c = 8.189 Å
α = 59.47°, β = 59.47°, γ = 59.47°
Fractional positions:
1 Pr 0.000 0.000 0.000
2 Nd 0.375 0.375 0.375
3 Dy 0.374 0.374 0.871
4 Dy 0.374 0.871 0.374
5 Dy 0.748 0.748 0.748
6 Dy 0.871 0.374 0.374
7 S 0.129 0.129 0.592
8 S 0.129 0.592 0.129
9 S 0.136 0.136 0.136
10 S 0.141 0.624 0.623
11 S 0.592 0.129 0.129
12 S 0.616 0.616 0.616
13 S 0.624 0.141 0.624
14 S 0.624 0.624 0.141

---

No. 5
## TmZrFe (PBE)

Data for a relaxed structure of TmZrFe.

Values from the calculation:
ΔE_f   2 meV per atom
Crystal system   tetragonal
D(E_F)   2.901 states/eV per cell
Space-group type   I4mm (107)

a = 6.205 Å, b = 6.205 Å, c = 6.205 Å
α = 149.34°, β = 149.34°, γ = 43.91°
Fractional positions:
1 Tm 0.000 0.000 0.000
2 Zr 0.728 0.728 0.000
3 Fe 0.344 0.344 0.000

---

No. 6
## K2NpH12Pd3 (PBE)

Data for a relaxed structure of K2NpH12Pd3.

Values from the calculation:
Crystal system   trigonal
DFT total energy   -4.09 eV/atom
D(E_F)   9.497 states/eV per cell
Space-group type   R-3m (166)

a = 6.298 Å, b = 6.298 Å, c = 6.298 Å
α = 68.05°, β = 68.05°, γ = 68.05°
Fractional positions:
1 K 0.112 0.112 0.112
2 K 0.888 0.888 0.888
3 Np 0.500 0.500 0.500
4 H 0.100 0.625 0.625
5 H 0.235 0.235 0.578
6 H 0.235 0.578 0.235
7 H 0.375 0.375 0.900
8 H 0.375 0.900 0.375
9 H 0.422 0.765 0.765
10 H 0.578 0.235 0.235
11 H 0.625 0.100 0.625
12 H 0.625 0.625 0.100
13 H 0.765 0.422 0.765
14 H 0.765 0.765 0.422
15 H 0.900 0.375 0.375
16 Pd 0.000 0.500 0.500
17 Pd 0.500 0.000 0.500
18 Pd 0.500 0.500 0.000

---

No. 7
## In5Hg2Pb6 (PBE)

Data for a relaxed structure of In5Hg2Pb6.

Values from the calculation:
ΔE_f   44 meV per atom
Crystal system   orthorhombic
D(E_F)   7.913 states/eV per cell
Space-group type   Pbam (55)

a = 11.114 Å, b = 14.114 Å, c = 4.951 Å
α = 90.00°, β = 90.00°, γ = 90.00°
Fractional positions:
1 In 0.000 0.000 0.000
2 In 0.092 0.228 0.000
3 In 0.142 0.663 0.000
4 In 0.358 0.163 0.000
5 In 0.408 0.728 0.000
6 In 0.500 0.500 0.000
7 In 0.592 0.272 0.000
8 In 0.642 0.837 0.000
9 In 0.858 0.337 0.000
10 In 0.908 0.772 0.000
11 Hg 0.023 0.392 0.500
12 Hg 0.477 0.892 0.500
13 Hg 0.523 0.108 0.500
14 Hg 0.977 0.608 0.500
15 Pb 0.125 0.835 0.500
16 Pb 0.173 0.090 0.500
17 Pb 0.207 0.443 0.000
18 Pb 0.293 0.943 0.000
19 Pb 0.327 0.590 0.500
20 Pb 0.375 0.335 0.500
21 Pb 0.625 0.665 0.500
22 Pb 0.673 0.410 0.500
23 Pb 0.707 0.057 0.000
24 Pb 0.793 0.557 0.000
25 Pb 0.827 0.910 0.500
26 Pb 0.875 0.165 0.500

---

No. 8
## Y2NbCo2 (PBE)

Data for a relaxed structure of Y2NbCo2.

Values from the calculation:
ΔE_f   -177 meV per atom
Crystal system   monoclinic
E above lowest polymorph   0.0 meV per atom
D(E_F)   4.318 states/eV per cell
Space-group type   C2/m (12)

a = 5.667 Å, b = 5.667 Å, c = 3.884 Å
α = 109.96°, β = 109.96°, γ = 58.17°
Fractional positions:
1 Y 0.204 0.204 0.204
2 Y 0.796 0.796 0.796
3 Nb 0.500 0.500 0.000
4 Co 0.220 0.780 0.500
5 Co 0.780 0.220 0.500

---

No. 9
## DyHoSn6 (PBE)

Data for a relaxed structure of DyHoSn6.

Values from the calculation:
ΔE_f   -413 meV per atom
Crystal system   tetragonal
D(E_F)   3.332 states/eV per cell
Space-group type   P4/mmm (123)

a = 4.789 Å, b = 4.789 Å, c = 9.117 Å
α = 90.00°, β = 90.00°, γ = 90.00°
Fractional positions:
1 Dy 0.000 0.000 0.000
2 Ho 0.000 0.000 0.500
3 Sn 0.000 0.500 0.251
4 Sn 0.000 0.500 0.749
5 Sn 0.500 0.000 0.251
6 Sn 0.500 0.000 0.749
7 Sn 0.500 0.500 0.000
8 Sn 0.500 0.500 0.500

---

No. 10
## BaHf3Ge (PBE)

Data for a relaxed structure of BaHf3Ge.

Values from the calculation:
ΔE_f   2152 meV per atom
Crystal system   cubic
E above lowest polymorph   1632.2 meV per atom
D(E_F)   10.079 states/eV per cell
Space-group type   Pm-3m (221)

a = 5.280 Å, b = 5.280 Å, c = 5.280 Å
α = 90.00°, β = 90.00°, γ = 90.00°
Fractional positions:
1 Ba 0.000 0.000 0.000
2 Hf 0.000 0.000 0.500
3 Hf 0.000 0.500 0.000
4 Hf 0.500 0.000 0.000
5 Ge 0.500 0.500 0.500

---

No. 11
## TaFeI3 (PBE)

Data for a relaxed structure of TaFeI3.

Values from the calculation:
E_form (uncorrected)   1.32 eV per atom
Crystal system   cubic
E above lowest polymorph   401.6 meV per atom
D(E_F)   9.448 states/eV per cell
Space-group type   Pm-3m (221)

a = 5.046 Å, b = 5.046 Å, c = 5.046 Å
α = 90.00°, β = 90.00°, γ = 90.00°
Fractional positions:
1 Ta 0.000 0.000 0.000
2 Fe 0.500 0.500 0.500
3 I 0.000 0.500 0.500
4 I 0.500 0.000 0.500
5 I 0.500 0.500 0.000

---

No. 12
## Ba2MoP (PBE)

Data for a relaxed structure of Ba2MoP.

Values from the calculation:
ΔE_f   500 meV per atom
Crystal system   orthorhombic
D(E_F)   2.316 states/eV per cell
Space-group type   Cmmm (65)

a = 5.373 Å, b = 5.373 Å, c = 4.362 Å
α = 90.00°, β = 90.00°, γ = 97.95°
Fractional positions:
1 Ba 0.000 0.500 0.000
2 Ba 0.500 0.000 0.000
3 Mo 0.000 0.000 0.500
4 P 0.500 0.500 0.500

---

No. 13
## NaTcAs2Pd (PBE)

Data for a relaxed structure of NaTcAs2Pd.

Values from the calculation:
ΔE_f   -375 meV per atom
Crystal system   tetragonal
D(E_F)   1.801 states/eV per cell
Space-group type   I-4m2 (119)

a = 6.666 Å, b = 6.666 Å, c = 6.666 Å
α = 144.17°, β = 144.17°, γ = 51.57°
Fractional positions:
1 Na 0.000 0.000 0.000
2 Tc 0.750 0.250 0.500
3 As 0.366 0.366 0.000
4 As 0.634 0.634 0.000
5 Pd 0.250 0.750 0.500

---

No. 14
## Tb3TmMg (PBE)

Data for a relaxed structure of Tb3TmMg.

Values from the calculation:
ΔE_f   -17 meV per atom
Crystal system   monoclinic
D(E_F)   13.107 states/eV per cell
Space-group type   C2/m (12)

a = 6.656 Å, b = 6.656 Å, c = 12.815 Å
α = 92.96°, β = 92.96°, γ = 31.92°
Fractional positions:
1 Tb 0.133 0.133 0.476
2 Tb 0.265 0.265 0.738
3 Tb 0.351 0.351 0.061
4 Tb 0.649 0.649 0.939
5 Tb 0.735 0.735 0.262
6 Tb 0.867 0.867 0.524
7 Tm 0.464 0.464 0.312
8 Tm 0.536 0.536 0.688
9 Mg 0.061 0.061 0.127
10 Mg 0.939 0.939 0.873

---

No. 15
## Hf2AlGaGe (PBE)

Data for a relaxed structure of Hf2AlGaGe.

Values from the calculation:
ΔE_f   692 meV per atom
Crystal system   tetragonal
D(E_F)   4.513 states/eV per cell
Space-group type   P4/mmm (123)

a = 5.035 Å, b = 5.035 Å, c = 4.606 Å
α = 90.00°, β = 90.00°, γ = 90.00°
Fractional positions:
1 Hf 0.000 0.500 0.000
2 Hf 0.500 0.000 0.000
3 Al 0.000 0.000 0.500
4 Ga 0.500 0.500 0.000
5 Ge 0.500 0.500 0.500

---

No. 16
## Dy3NpOs8 (PBE)

Data for a relaxed structure of Dy3NpOs8.

Values from the calculation:
ΔE_f   -194 meV per atom
Crystal system   monoclinic
D(E_F)   13.827 states/eV per cell
Space-group type   Cm (8)

a = 5.348 Å, b = 5.348 Å, c = 9.271 Å
α = 106.71°, β = 106.71°, γ = 60.03°
Fractional positions:
1 Dy 0.000 0.000 0.000
2 Dy 0.125 0.125 0.374
3 Dy 0.500 0.500 0.499
4 Np 0.625 0.625 0.875
5 Os 0.061 0.562 0.186
6 Os 0.063 0.063 0.688
7 Os 0.063 0.563 0.688
8 Os 0.313 0.313 0.938
9 Os 0.562 0.061 0.186
10 Os 0.563 0.063 0.688
11 Os 0.563 0.563 0.186
12 Os 0.813 0.813 0.438

---

No. 17
## Tb2Ce3ErS6 (PBE)

Data for a relaxed structure of Tb2Ce3ErS6.

Values from the calculation:
E_form (uncorrected)   -2.03 eV per atom
Crystal system   monoclinic
D(E_F)   16.025 states/eV per cell
Space-group type   C2/m (12)

a = 6.839 Å, b = 6.839 Å, c = 6.930 Å
α = 99.48°, β = 99.48°, γ = 120.04°
Fractional positions:
1 Tb 0.167 0.833 0.000
2 Tb 0.833 0.167 0.000
3 Ce 0.000 0.000 0.500
4 Ce 0.332 0.668 0.500
5 Ce 0.668 0.332 0.500
6 Er 0.500 0.500 0.000
7 S 0.091 0.421 0.762
8 S 0.250 0.250 0.239
9 S 0.421 0.091 0.762
10 S 0.579 0.909 0.238
11 S 0.750 0.750 0.761
12 S 0.909 0.579 0.238

---

No. 18
## TmZnPd14 (PBE)

Data for a relaxed structure of TmZnPd14.

Values from the calculation:
ΔE_f   -286 meV per atom
Crystal system   tetragonal
D(E_F)   27.811 states/eV per cell
Space-group type   P4/mmm (123)

a = 5.646 Å, b = 5.646 Å, c = 7.902 Å
α = 90.00°, β = 90.00°, γ = 90.00°
Fractional positions:
1 Tm 0.000 0.000 0.000
2 Zn 0.500 0.500 0.000
3 Pd 0.000 0.000 0.500
4 Pd 0.000 0.500 0.000
5 Pd 0.000 0.500 0.500
6 Pd 0.253 0.253 0.251
7 Pd 0.253 0.253 0.749
8 Pd 0.253 0.747 0.251
9 Pd 0.253 0.747 0.749
10 Pd 0.500 0.000 0.000
11 Pd 0.500 0.000 0.500
12 Pd 0.500 0.500 0.500
13 Pd 0.747 0.253 0.251
14 Pd 0.747 0.253 0.749
15 Pd 0.747 0.747 0.251
16 Pd 0.747 0.747 0.749

---

No. 19
## GdMnGe (PBE)

Data for a relaxed structure of GdMnGe.

Values from the calculation:
ΔE_f   -404 meV per atom
Crystal system   hexagonal
D(E_F)   2.828 states/eV per cell
Space-group type   P-6m2 (187)

a = 4.348 Å, b = 4.348 Å, c = 3.794 Å
α = 90.00°, β = 90.00°, γ = 120.00°
Fractional positions:
1 Gd 0.000 0.000 0.000
2 Mn 0.667 0.333 0.500
3 Ge 0.333 0.667 0.500

---

No. 20
## Cu7Se6 (PBE)

Data for a relaxed structure of Cu7Se6.

Values from the calculation:
E_form (uncorrected)   0.07 eV per atom
Crystal system   trigonal
D(E_F)   8.150 states/eV per cell
Space-group type   R-3m (166)

a = 11.064 Å, b = 11.064 Å, c = 11.064 Å
α = 27.44°, β = 27.44°, γ = 27.44°
Fractional positions:
1 Cu 0.000 0.000 0.000
2 Cu 0.091 0.091 0.593
3 Cu 0.091 0.593 0.091
4 Cu 0.407 0.909 0.909
5 Cu 0.593 0.091 0.091
6 Cu 0.909 0.407 0.909
7 Cu 0.909 0.909 0.407
8 Se 0.132 0.132 0.132
9 Se 0.315 0.315 0.315
10 Se 0.425 0.425 0.425
11 Se 0.575 0.575 0.575
12 Se 0.685 0.685 0.685
13 Se 0.868 0.868 0.868

---

No. 21
## Ac2PrPO8 (PBE)

Data for a relaxed structure of Ac2PrPO8.

Values from the calculation:
E_form (uncorrected)   -2.43 eV per atom
Crystal system   trigonal
D(E_F)   2.165 states/eV per cell
Space-group type   P-3m1 (164)

a = 5.482 Å, b = 5.482 Å, c = 6.454 Å
α = 90.00°, β = 90.00°, γ = 120.00°
Fractional positions:
1 Ac 0.333 0.667 0.359
2 Ac 0.667 0.333 0.641
3 Pr 0.000 0.000 0.000
4 P 0.000 0.000 0.500
5 O 0.147 0.294 0.659
6 O 0.147 0.853 0.659
7 O 0.294 0.147 0.341
8 O 0.333 0.667 0.017
9 O 0.667 0.333 0.983
10 O 0.706 0.853 0.659
11 O 0.853 0.147 0.341
12 O 0.853 0.706 0.341

---

No. 22
## ZrTa2As (PBE)

Data for a relaxed structure of ZrTa2As.

Values from the calculation:
ΔE_f   -169 meV per atom
Crystal system   tetragonal
D(E_F)   3.059 states/eV per cell
Space-group type   P4/mmm (123)

a = 3.489 Å, b = 3.489 Å, c = 6.070 Å
α = 90.00°, β = 90.00°, γ = 90.00°
Fractional positions:
1 Zr 0.000 0.000 0.000
2 Ta 0.500 0.500 0.277
3 Ta 0.500 0.500 0.723
4 As 0.000 0.000 0.500

---

No. 23
## SmHo4Tm10 (PBE)

Data for a relaxed structure of SmHo4Tm10.

Values from the calculation:
ΔE_f   738 meV per atom
Crystal system   tetragonal
D(E_F)   16.433 states/eV per cell
Space-group type   I4/m (87)

a = 9.310 Å, b = 9.310 Å, c = 9.310 Å
α = 99.58°, β = 99.58°, γ = 131.85°
Fractional positions:
1 Sm 0.000 0.000 0.000
2 Ho 0.199 0.599 0.799
3 Ho 0.401 0.199 0.600
4 Ho 0.599 0.801 0.400
5 Ho 0.801 0.401 0.201
6 Tm 0.051 0.151 0.698
7 Tm 0.151 0.453 0.100
8 Tm 0.250 0.750 0.500
9 Tm 0.353 0.051 0.900
10 Tm 0.453 0.353 0.302
11 Tm 0.547 0.647 0.698
12 Tm 0.647 0.949 0.100
13 Tm 0.750 0.250 0.500
14 Tm 0.849 0.547 0.900
15 Tm 0.949 0.849 0.302